CoAs3Se | PBE | optimized geometry

Calculated values
Total magnetic moment   2.00 Bohr magnetons per cell
Energy relative to the lowest polymorph listed for this composition   4.45 eV/f.u.
Space group   Pm-3m, No. 221

a b c (Å): 4.940 4.940 4.940
angles (deg): 90.00 90.00 90.00
Fractional coordinates of all 5 atoms:
Se 0.000 0.000 0.000
As 0.000 0.000 0.500
As 0.500 0.000 0.000
As 0.000 0.500 0.000
Co 0.500 0.500 0.500

CoAsSe | PBE | optimized geometry

Calculated values
Total magnetic moment   0.00 Bohr magnetons per cell
Uncorrected energy   -130.87 eV/cell
Space group   Pbca, No. 61

a b c (Å): 5.770 5.855 11.529
angles (deg): 90.00 90.00 90.00
Fractional coordinates of all 24 atoms:
Se 0.622 0.059 0.320
Co 0.003 0.177 0.373
As 0.867 0.317 0.065
Se 0.122 0.059 0.180
Se 0.122 0.441 0.680
As 0.133 0.817 0.435
Se 0.878 0.559 0.320
Se 0.378 0.941 0.680
Se 0.378 0.559 0.180
Co 0.503 0.323 0.627
Co 0.997 0.823 0.627
Co 0.497 0.677 0.373
As 0.867 0.183 0.565
Co 0.503 0.177 0.127
As 0.367 0.317 0.435
As 0.367 0.183 0.935
As 0.633 0.683 0.565
Co 0.997 0.677 0.127
As 0.633 0.817 0.065
Se 0.622 0.441 0.820
As 0.133 0.683 0.935
Se 0.878 0.941 0.820
Co 0.497 0.823 0.873
Co 0.003 0.323 0.873

CoAsSe2 | PBE | optimized geometry

Calculated values
Total magnetic moment   0.00 Bohr magnetons per cell
Uncorrected energy   -18.74 eV/cell
Space group   R3m, No. 160

a b c (Å): 7.955 7.955 7.955
angles (deg): 24.98 24.98 24.98
Fractional coordinates of all 4 atoms:
Se 0.033 0.033 0.033
As 0.488 0.488 0.488
Co 0.750 0.750 0.750
Se 0.229 0.229 0.229

Co3AsSe | PBE | optimized geometry

Calculated values
Total magnetic moment   2.06 Bohr magnetons per cell
Energy relative to the lowest polymorph listed for this composition   0.00 eV/f.u.
Space group   Pm-3m, No. 221

a b c (Å): 4.331 4.331 4.331
angles (deg): 90.00 90.00 90.00
Fractional coordinates of all 5 atoms:
Se 0.000 0.000 0.000
As 0.500 0.500 0.500
Co 0.000 0.500 0.000
Co 0.500 0.000 0.000
Co 0.000 0.000 0.500

CoAsSe | PBE | optimized geometry

Calculated values
Total magnetic moment   0.00 Bohr magnetons per cell
Uncorrected energy   -65.29 eV/cell
Space group   P2_13, No. 198

a b c (Å): 5.765 5.765 5.765
angles (deg): 90.00 90.00 90.00
Fractional coordinates of all 12 atoms:
Co 0.502 0.002 0.498
Co 0.498 0.502 0.002
Se 0.877 0.377 0.123
As 0.876 0.124 0.624
As 0.624 0.876 0.124
Se 0.123 0.877 0.377
As 0.376 0.376 0.376
As 0.124 0.624 0.876
Se 0.377 0.123 0.877
Co 0.002 0.498 0.502
Se 0.623 0.623 0.623
Co 0.998 0.998 0.998

CoAsSe2 | PBE | optimized geometry

Calculated values
Total magnetic moment   0.57 Bohr magnetons per cell
Uncorrected energy   -17.79 eV/cell
Space group   P4mm, No. 99

a b c (Å): 3.349 3.348 7.136
angles (deg): 90.00 90.00 90.00
Fractional coordinates of all 4 atoms:
As 0.000 0.000 0.550
Co 0.500 0.500 0.700
Se 0.000 0.000 0.901
Se 0.500 0.500 0.350

CoAsSe2 | PBE | optimized geometry

Calculated values
Total magnetic moment   0.81 Bohr magnetons per cell
Uncorrected energy   -16.84 eV/cell
Space group   R-3m, No. 166

a b c (Å): 12.742 12.742 12.742
angles (deg): 12.76 12.76 12.76
Fractional coordinates of all 4 atoms:
Co 0.000 0.000 0.000
Se 0.940 0.940 0.940
Se 0.060 0.060 0.060
As 0.500 0.500 0.500

CoAsSe2 | PBE | optimized geometry

Calculated values
Total magnetic moment   0.00 Bohr magnetons per cell
Uncorrected energy   -18.62 eV/cell
Space group   Immm, No. 71

a b c (Å): 6.603 6.603 6.603
angles (deg): 149.91 143.20 48.24
Fractional coordinates of all 4 atoms:
Co 0.250 0.750 0.500
As 0.750 0.250 0.500
Se 0.109 0.109 0.000
Se 0.391 0.391 0.000

CoAsSe | PBE | optimized geometry

Calculated values
Total magnetic moment   0.00 Bohr magnetons per cell
Uncorrected energy   -15.09 eV/cell
Space group   Imm2, No. 44

a b c (Å): 7.185 7.185 7.185
angles (deg): 155.44 157.69 33.42
Fractional coordinates of all 3 atoms:
Se 0.729 0.729 0.000
As 0.942 0.942 0.000
Co 0.330 0.330 0.000

CoAsSe | PBE | optimized geometry

Calculated values
Total magnetic moment   0.00 Bohr magnetons per cell
Uncorrected energy   -32.38 eV/cell
Space group   P2/m, No. 10

a b c (Å): 3.534 4.845 5.783
angles (deg): 88.82 90.00 90.00
Fractional coordinates of all 6 atoms:
Co 0.000 0.000 0.000
Co 0.500 0.500 0.500
As 0.500 0.294 0.129
Se 0.000 0.216 0.638
Se 0.000 0.784 0.362
As 0.500 0.706 0.871

CoAsSe2 | PBE | optimized geometry

Calculated values
Total magnetic moment   2.51 Bohr magnetons per cell
Uncorrected energy   -16.84 eV/cell
Space group   I-4m2, No. 119

a b c (Å): 7.897 7.897 7.897
angles (deg): 153.80 153.80 37.40
Fractional coordinates of all 4 atoms:
Se 0.000 0.000 0.000
As 0.500 0.500 0.000
Co 0.750 0.250 0.500
Se 0.250 0.750 0.500

CoAsSe2 | PBE | optimized geometry

Calculated values
Total magnetic moment   2.48 Bohr magnetons per cell
Uncorrected energy   -16.84 eV/cell
Space group   Pmmm, No. 47

a b c (Å): 3.591 7.745 3.578
angles (deg): 90.00 90.00 90.00
Fractional coordinates of all 4 atoms:
Se 0.000 0.000 0.000
As 0.500 0.000 0.500
Se 0.500 0.500 0.000
Co 0.000 0.500 0.500